The following is a DFT calculation (PBE+U) of a relaxed structure of Li2WO6.

Cell and atoms, written as CIF:
```
data_Li2WO6
_space_group_name_H-M_alt 'P 42/m n m'
_space_group_IT_number 136
_space_group_name_Hall '-P 4n 2n'
_cell_length_a 4.796
_cell_length_b 4.796
_cell_length_c 9.287
_cell_angle_alpha 90.00
_cell_angle_beta 90.00
_cell_angle_gamma 90.00
loop_
_atom_site_label
_atom_site_fract_x
_atom_site_fract_y
_atom_site_fract_z
Li1 0.000 0.000 0.161
W1 0.000 0.000 0.500
O1 0.199 0.199 0.349
O2 0.216 0.216 0.000
```

## Properties
The crystal system is tetragonal. For the calculated volume, the calculation gives 11.9 Å³/atom. For the total DFT energy (no corrections), the calculation gives -5.62 eV per atom. The calculation puts the density of states at the Fermi level at 11.685 states/eV per cell.